1.
PmHo2In2: relaxed, PBE-GGA.

Computed properties:
* M_tot: 0.000 μB/f.u.
* energy relative to the lowest polymorph listed for this composition: 337 meV/atom
* ΔH_f (0 K): -39 meV/atom
* crystal system: hexagonal
* energy: -3.92 eV/atom

Cell: 5.1715 5.1715 12.8253 Å, 90.00 90.00 120.00°
With the nearest neighbours (Å) after each atom.
Space group P6_3/mmc (No. 194)
Unique sites:
1 Pm 0.0000 0.0000 0.2500 [2 per cell]  5 Ho 2.99-3.21
2 Ho 0.0000 0.0000 0.0000 [2 per cell]  2 Pm 3.21, 6 In 3.42
3 Ho 0.3333 0.6667 0.2500 [2 per cell]  3 Pm 2.99
4 In 0.3333 0.6667 0.6296 [4 per cell]  1 In 3.09, 3 Pm 3.36, 6 Ho 3.36-3.42

=====

2.
Ho2PPd: relaxed, PBE-GGA.

Computed properties:
* M_tot: 0.000 μB/f.u.
* ΔH_f (0 K): -575 meV/atom
* crystal system: trigonal
* energy: -5.51 eV/atom

Cell: 3.7070 3.7070 25.6848 Å, 90.00 90.00 120.00°
With the nearest neighbours (Å) after each atom.
Space group R-3m (No. 166, hexagonal axes)
Unique sites:
1 Ho 0.0000 0.0000 0.1027 [6 per cell]  1 Pd 2.64, 3 P 2.70
2 P 0.0000 0.0000 0.5000 [3 per cell]  6 Ho 2.70
3 Pd 0.0000 0.0000 0.0000 [3 per cell]  2 Ho 2.64

=====

3.
HfAl2CdIn: relaxed, PBE-GGA.

Computed properties:
* M_tot: 0.000 μB/f.u.
* ΔH_f (0 K): 779 meV/atom
* crystal system: tetragonal
* energy: -3.44 eV/atom

Cell: 4.8222 4.8222 5.4599 Å, 90.00 90.00 90.00°
With the nearest neighbours (Å) after each atom.
Space group P4/mmm (No. 123)
Unique sites:
1 Hf 0.0000 0.0000 0.0000 [1 per cell]  2 Cd 2.73
2 Al 0.0000 0.5000 0.5000 [2 per cell]  2 Cd 2.41
3 Cd 0.0000 0.0000 0.5000 [1 per cell]  4 Al 2.41
4 In 0.5000 0.5000 0.0000 [1 per cell]  4 Hf 3.41, 8 Al 3.64

=====

4.
NbPPt3: relaxed, PBE-GGA.

Computed properties:
* M_tot: 0.000 μB/f.u.
* energy relative to the lowest polymorph listed for this composition: 1098 meV/atom
* ΔH_f (0 K): 1314 meV/atom
* crystal system: cubic
* energy: -5.41 eV/atom

Cell: 4.8612 4.8612 4.8612 Å, 90.00 90.00 90.00°
With the nearest neighbours (Å) after each atom.
Space group Pm-3m (No. 221)
Unique sites:
1 Nb 0.0000 0.0000 0.0000 [1 per cell]  6 Pt 2.43
2 P 0.5000 0.5000 0.5000 [1 per cell]  12 Pt 3.44
3 Pt 0.0000 0.0000 0.5000 [3 per cell]  2 Nb 2.43

=====

5.
NdTmLuTl: relaxed, PBE-GGA.

Computed properties:
* M_tot: 0.700 μB/f.u.
* ΔH_f (0 K): -40 meV/atom
* crystal system: cubic
* energy: -4.07 eV/atom

Cell: 7.7420 7.7420 7.7420 Å, 90.00 90.00 90.00°
With the nearest neighbours (Å) after each atom.
Space group F-43m (No. 216)
Unique sites:
1 Nd 0.0000 0.0000 0.0000 [4 per cell]  4 Tl 3.35, 4 Lu 3.35
2 Tm 0.0000 0.0000 0.5000 [4 per cell]  4 Tl 3.35, 4 Lu 3.35
3 Lu 0.2500 0.2500 0.7500 [4 per cell]  4 Nd 3.35, 4 Tm 3.35
4 Tl 0.2500 0.2500 0.2500 [4 per cell]  4 Nd 3.35, 4 Tm 3.35

=====

6.
TaCd2Co: relaxed, PBE-GGA.

Computed properties:
* M_tot: 1.493 μB/f.u.
* energy relative to the lowest polymorph listed for this composition: 378 meV/atom
* ΔH_f (0 K): 451 meV/atom
* crystal system: orthorhombic
* energy: -4.75 eV/atom

Cell: 2.8186 4.3386 5.7336 Å, 90.00 90.00 90.00°
With the nearest neighbours (Å) after each atom.
Space group Pmmm (No. 47)
Unique sites:
1 Ta 0.0000 0.0000 0.0000 [1 per cell]  2 Ta 2.82, 2 Co 2.87, 8 Cd 2.99
2 Cd 0.5000 0.5000 0.2615 [2 per cell]  4 Cd 2.74-3.00, 4 Co 2.93, 4 Ta 2.99
3 Co 0.0000 0.0000 0.5000 [1 per cell]  2 Co 2.82, 2 Ta 2.87, 8 Cd 2.93

=====

7.
RbUI2O8: relaxed, PBE-GGA.

Computed properties:
* M_tot: 1.001 μB/f.u.
* energy relative to the elements, uncorrected: -1.29 eV/atom
* crystal system: trigonal
* energy: -5.87 eV/atom

Cell: 6.4834 6.4834 7.8254 Å, 90.00 90.00 120.00°
With the nearest neighbours (Å) after each atom.
Space group P-3m1 (No. 164)
Unique sites:
1 Rb 0.0000 0.0000 0.0000 [1 per cell]  6 O 3.16
2 U 0.0000 0.0000 0.5000 [1 per cell]  6 O 2.16
3 I 0.3333 0.6667 0.3228 [2 per cell]  1 O 1.78
4 O 0.1546 0.3091 0.3367 [6 per cell]  1 I 2.01, 1 U 2.16
5 O 0.3333 0.6667 0.0951 [2 per cell]  1 I 1.78

=====

8.
NaPmAgSn: relaxed, PBE-GGA.

Computed properties:
* M_tot: 0.000 μB/f.u.
* ΔH_f (0 K): -341 meV/atom
* crystal system: cubic
* energy: -3.57 eV/atom

Cell: 7.4221 7.4221 7.4221 Å, 90.00 90.00 90.00°
With the nearest neighbours (Å) after each atom.
Space group F-43m (No. 216)
Unique sites:
1 Na 0.0000 0.0000 0.0000 [4 per cell]  4 Sn 3.21, 4 Ag 3.21
2 Pm 0.0000 0.0000 0.5000 [4 per cell]  4 Sn 3.21, 4 Ag 3.21
3 Ag 0.2500 0.2500 0.7500 [4 per cell]  4 Na 3.21, 4 Pm 3.21
4 Sn 0.2500 0.2500 0.2500 [4 per cell]  4 Na 3.21, 4 Pm 3.21